1.
## ZrBe3Hg (PBE)

Data for a geometry-optimized ZrBe3Hg structure.

a b c (Å): 4.342 4.342 4.342
angles (deg): 90.00 90.00 90.00
Space group Pm-3m (No. 221)
Symmetry-distinct sites (fractional):
Zr 0.000 0.000 0.000
Be 0.000 0.500 0.500
Hg 0.500 0.500 0.500

Results
Size of the total moment (Bohr magnetons per cell): 0.00
V (Å³ per cell): 81.8
Energy above the lowest structure with this stoichiometry (eV/atom): 0.000
Crystal system: cubic

2.
## ZrBe2Hg (PBE)

Data for a geometry-optimized ZrBe2Hg structure.

a b c (Å): 3.113 3.951 10.229
angles (deg): 90.00 90.00 90.00
Space group Imm2 (No. 44)
Symmetry-distinct sites (fractional):
Zr 0.000 0.000 0.000
Be 0.000 0.000 0.412
Be 0.000 0.500 0.765
Hg 0.000 0.500 0.230

Results
Size of the total moment (Bohr magnetons per cell): 0.00
V (Å³ per cell): 125.8
Final energy (eV per atom): -3.87
Crystal system: orthorhombic

3.
## ZrBe2Hg (PBE)

Data for a geometry-optimized ZrBe2Hg structure.

a b c (Å): 6.449 3.721 5.732
angles (deg): 90.00 111.93 90.00
Space group Cm (No. 8)
Symmetry-distinct sites (fractional):
Zr 0.000 0.000 0.000
Be 0.066 0.500 0.692
Be 0.234 0.000 0.699
Hg 0.304 0.500 0.405

Results
Size of the total moment (Bohr magnetons per cell): 0.00
V (Å³ per cell): 127.6
Final energy (eV per atom): -4.05
Crystal system: monoclinic

4.
## ZrBe2Hg (PBE)

Data for a geometry-optimized ZrBe2Hg structure.

a b c (Å): 3.100 3.939 5.366
angles (deg): 90.00 90.07 90.00
Space group P2/m (No. 10)
Symmetry-distinct sites (fractional):
Zr 0.000 0.000 0.000
Be 0.499 0.500 0.794
Hg 0.500 0.000 0.500

Results
Size of the total moment (Bohr magnetons per cell): 0.00
V (Å³ per cell): 65.5
Final energy (eV per atom): -3.95
Crystal system: monoclinic

5.
## Zr4BeHg (PBE)

Data for a geometry-optimized Zr4BeHg structure.

a b c (Å): 8.050 8.050 8.050
angles (deg): 90.00 90.00 90.00
Space group F-43m (No. 216)
Symmetry-distinct sites (fractional):
Zr 0.124 0.124 0.124
Be 0.250 0.250 0.750
Hg 0.000 0.000 0.500

Results
Size of the total moment (Bohr magnetons per cell): 0.00
V (Å³ per cell): 521.7
Final energy (eV per atom): -5.84
Crystal system: cubic

6.
## ZrBe2Hg (PBE)

Data for a geometry-optimized ZrBe2Hg structure.

a b c (Å): 2.9519 2.9519 26.3188
angles (deg): 90.00 90.00 120.00
Space group R3m (No. 160, hexagonal axes)
Symmetry-distinct sites (fractional):
Zr 0.0000 0.0000 0.0000
Be 0.0000 0.0000 0.4786
Be 0.0000 0.0000 0.7535
Hg 0.0000 0.0000 0.2287

Results
Size of the total moment (Bohr magnetons per cell): 0.00
V (Å³ per cell): 198.6
Final energy (eV per atom): -3.60
Crystal system: trigonal

Which formula does entry 6 have?
ZrBe2Hg

Repeat the third record exactly.
## ZrBe2Hg (PBE)

Data for a geometry-optimized ZrBe2Hg structure.

a b c (Å): 6.449 3.721 5.732
angles (deg): 90.00 111.93 90.00
Space group Cm (No. 8)
Symmetry-distinct sites (fractional):
Zr 0.000 0.000 0.000
Be 0.066 0.500 0.692
Be 0.234 0.000 0.699
Hg 0.304 0.500 0.405

Results
Size of the total moment (Bohr magnetons per cell): 0.00
V (Å³ per cell): 127.6
Final energy (eV per atom): -4.05
Crystal system: monoclinic

Which formula does entry 3 have?
ZrBe2Hg